Density functional theory data (GGA-PBEsol) for YAs2Rh after structural relaxation.

Structure (CIF):
```
data_YAs2Rh
_symmetry_space_group_name_H-M 'P 1'
_symmetry_Int_Tables_number 1
_cell_length_a 4.027
_cell_length_b 4.274
_cell_length_c 4.577
_cell_angle_alpha 101.20
_cell_angle_beta 90.00
_cell_angle_gamma 90.00
loop_
_symmetry_equiv_pos_as_xyz
'x,y,z'
loop_
_atom_site_label
_atom_site_type_symbol
_atom_site_fract_x
_atom_site_fract_y
_atom_site_fract_z
Rh1 Rh 0.500 0.000 0.500
Y1 Y 0.500 0.500 0.000
As1 As 0.000 0.172 0.267
As2 As 0.000 0.828 0.733
```

Results
ΔE_f: -332 kJ/mol of formula units
uncorrected energy: -7.15 eV per atom
V: 77.3 Å³/cell

---

Density functional theory data (GGA-PBEsol) for YAs2Rh2 after structural relaxation.

Structure (CIF):
```
data_YAs2Rh2
_symmetry_space_group_name_H-M 'P 1'
_symmetry_Int_Tables_number 1
_cell_length_a 4.068
_cell_length_b 4.068
_cell_length_c 5.909
_cell_angle_alpha 110.13
_cell_angle_beta 110.13
_cell_angle_gamma 90.00
loop_
_symmetry_equiv_pos_as_xyz
'x,y,z'
loop_
_atom_site_label
_atom_site_type_symbol
_atom_site_fract_x
_atom_site_fract_y
_atom_site_fract_z
As1 As 0.381 0.381 0.763
As2 As 0.619 0.619 0.237
Y1 Y 0.000 0.000 0.000
Rh1 Rh 0.250 0.750 0.500
Rh2 Rh 0.750 0.250 0.500
```

Results
ΔE_f: -413 kJ/mol of formula units
uncorrected energy: -7.52 eV per atom
V: 85.4 Å³/cell

---

Density functional theory data (GGA-PBEsol) for ZnAsRh3 after structural relaxation.

Structure (CIF):
```
data_ZnAsRh3
_symmetry_space_group_name_H-M 'P 1'
_symmetry_Int_Tables_number 1
_cell_length_a 4.439
_cell_length_b 4.439
_cell_length_c 4.439
_cell_angle_alpha 90.00
_cell_angle_beta 90.00
_cell_angle_gamma 90.00
loop_
_symmetry_equiv_pos_as_xyz
'x,y,z'
loop_
_atom_site_label
_atom_site_type_symbol
_atom_site_fract_x
_atom_site_fract_y
_atom_site_fract_z
Rh1 Rh 0.000 0.500 0.000
Rh2 Rh 0.500 0.000 0.000
Rh3 Rh 0.000 0.000 0.500
Zn1 Zn 0.000 0.000 0.000
As1 As 0.500 0.500 0.500
```

Results
polymorph energy (0 for the lowest one): 679 meV/atom
ΔE_f: 543 kJ/mol of formula units
uncorrected energy: -5.10 eV per atom
V: 87.4 Å³/cell